Here is a relaxed LiSi2Rh crystal from Alexandria. Energies are from GGA-PBE.

Computed properties:
DOS(E_F) = 0.2531 states/eV/atom
uncorrected formation energy = -127 kJ/mol of formula units
spin magnetization = 0.000 μB per atom

abc: 4.125 2.812 4.918
angles: 89.96 90.00 90.00
Sites, in units of the cell vectors:
Si1 0.000 0.749 0.495
Rh1 0.500 0.750 0.750
Si2 0.000 0.751 0.005
Li1 0.500 0.250 0.250

Here is a relaxed LiFeCo crystal from Alexandria. Energies are from GGA-PBE.

Computed properties:
calculated formation energy = 0.146 eV/atom
DOS(E_F) = 0.8292 states/eV/atom
spin magnetization = 1.290 μB per atom

abc: 6.690 6.534 2.436
angles: 83.00 75.81 21.19
Sites, in units of the cell vectors:
Li1 0.664 0.664 0.336
Fe1 0.340 0.340 0.660
Co1 0.995 0.995 0.005

Here is a relaxed RbCdCuNi2 crystal from Alexandria. Energies are from GGA-PBE.

Computed properties:
calculated formation energy = 2.013 eV/atom
DOS(E_F) = 1.0582 states/eV/atom
spin magnetization = 0.000 μB per atom

abc: 4.654 5.962 4.654
angles: 90.00 90.00 90.00
Sites, in units of the cell vectors:
Ni1 0.500 0.000 0.000
Rb1 0.000 0.000 0.000
Cu1 0.500 0.500 0.500
Cd1 0.000 0.500 0.000
Ni2 0.000 0.000 0.500

Here is a relaxed HgGeAs2F crystal from Alexandria. Energies are from GGA-PBE.

Computed properties:
DOS(E_F) = 0.6400 states/eV/atom
uncorrected formation energy = 374 kJ/mol of formula units
spin magnetization = 0.120 μB per atom

abc: 5.131 5.537 5.131
angles: 90.00 90.00 90.00
Sites, in units of the cell vectors:
Hg1 0.000 0.000 0.000
Ge1 0.000 0.500 0.000
As1 0.000 0.000 0.500
F1 0.500 0.500 0.500
As2 0.500 0.000 0.000

Here is a relaxed TaIr2OsSe crystal from Alexandria. Energies are from GGA-PBE.

Computed properties:
DOS(E_F) = 1.6909 states/eV/atom
uncorrected formation energy = 814 kJ/mol of formula units
spin magnetization = 0.000 μB per atom

abc: 4.730 4.648 4.730
angles: 90.00 90.00 90.00
Sites, in units of the cell vectors:
Ir1 0.500 0.000 0.000
Ta1 0.500 0.500 0.500
Os1 0.000 0.000 0.000
Ir2 0.000 0.000 0.500
Se1 0.000 0.500 0.000

Here is a relaxed DyEr4Mg2 crystal from Alexandria. Energies are from GGA-PBE.

Computed properties:
calculated formation energy = 0.070 eV/atom
DOS(E_F) = 1.3605 states/eV/atom
spin magnetization = 0.000 μB per atom

abc: 5.397 5.397 8.579
angles: 71.67 71.67 60.00
Sites, in units of the cell vectors:
Er1 0.792 0.792 0.624
Dy1 0.500 0.500 0.500
Er2 0.931 0.931 0.206
Er3 0.069 0.069 0.794
Er4 0.208 0.208 0.376
Mg1 0.351 0.351 0.946
Mg2 0.649 0.649 0.054

Here is a relaxed MgScSiAg crystal from Alexandria. Energies are from GGA-PBE.

Computed properties:
DOS(E_F) = 0.4761 states/eV/atom
uncorrected formation energy = -114 kJ/mol of formula units
spin magnetization = 0.000 μB per atom

abc: 4.693 4.693 4.693
angles: 60.00 60.00 60.00
Sites, in units of the cell vectors:
Si1 0.000 0.000 0.000
Sc1 0.750 0.750 0.750
Ag1 0.500 0.500 0.500
Mg1 0.250 0.250 0.250

Here is a relaxed Mo5Ir12Rh3 crystal from Alexandria. Energies are from GGA-PBE.

Computed properties:
calculated formation energy = 0.737 eV/atom
DOS(E_F) = 1.0288 states/eV/atom
spin magnetization = 0.000 μB per atom

abc: 12.572 12.572 12.572
angles: 109.47 109.47 109.47
Sites, in units of the cell vectors:
Ir1 0.362 0.938 0.769
Ir2 0.576 0.638 0.407
Ir3 0.862 0.593 0.924
Ir4 0.769 0.331 0.907
Ir5 0.593 0.731 0.669
Ir6 0.924 0.831 0.562
Ir7 0.576 0.938 0.669
Ir8 0.831 0.924 0.062
Ir9 0.731 0.593 0.169
Mo1 0.750 0.125 0.875
Ir10 0.407 0.269 0.331
Ir11 0.938 0.362 0.269
Ir12 0.231 0.562 0.638
Mo2 0.125 0.750 0.375
Ir13 0.638 0.062 0.231
Ir14 0.231 0.669 0.093
Ir15 0.438 0.669 0.076
Ir16 0.562 0.231 0.138
Ir17 0.362 0.424 0.093
Mo3 0.000 0.000 0.000
Ir18 0.562 0.331 0.924
Rh1 0.750 0.875 0.625
Mo4 0.375 0.250 0.125
Ir19 0.169 0.093 0.731
Mo5 0.000 0.000 0.500
Mo6 0.250 0.875 0.125
Ir20 0.076 0.907 0.138
Mo7 0.750 0.625 0.375
Ir21 0.424 0.362 0.593
Ir22 0.669 0.438 0.576
Ir23 0.638 0.576 0.907
Ir24 0.138 0.731 0.562
Ir25 0.924 0.093 0.862
Mo8 0.500 0.000 0.000
Ir26 0.331 0.562 0.424
Rh2 0.375 0.625 0.250
Ir27 0.062 0.638 0.731
Ir28 0.269 0.407 0.831
Ir29 0.407 0.138 0.576
Rh3 0.250 0.625 0.875
Ir30 0.862 0.269 0.438
Ir31 0.062 0.424 0.831
Rh4 0.625 0.250 0.375
Ir32 0.169 0.076 0.938
Rh5 0.625 0.375 0.750
Ir33 0.731 0.138 0.062
Mo9 0.500 0.000 0.500
Ir34 0.093 0.169 0.231
Mo10 0.875 0.250 0.625
Rh6 0.750 0.375 0.125
Mo11 0.625 0.875 0.250
Ir35 0.424 0.062 0.331
Ir36 0.269 0.862 0.938
Mo12 0.375 0.125 0.750
Rh7 0.875 0.125 0.250
Ir37 0.076 0.169 0.438
Ir38 0.138 0.407 0.076
Mo13 0.875 0.625 0.750
Mo14 0.125 0.375 0.250
Ir39 0.831 0.907 0.269
Mo15 0.000 0.500 0.000
Ir40 0.331 0.769 0.407
Rh8 0.250 0.125 0.375
Ir41 0.438 0.769 0.862
Mo16 0.625 0.750 0.875
Ir42 0.907 0.076 0.638
Mo17 0.000 0.500 0.500
Rh9 0.875 0.750 0.125
Mo18 0.500 0.500 0.500
Ir43 0.669 0.231 0.593
Rh10 0.375 0.750 0.625
Mo19 0.250 0.375 0.625
Mo20 0.500 0.500 0.000
Ir44 0.093 0.924 0.362
Ir45 0.769 0.438 0.362
Rh11 0.125 0.875 0.750
Ir46 0.593 0.862 0.424
Ir47 0.907 0.831 0.769
Rh12 0.125 0.250 0.875
Ir48 0.938 0.576 0.169

Here is a relaxed PrScAs2 crystal from Alexandria. Energies are from GGA-PBE.

Computed properties:
calculated formation energy = -1.251 eV/atom
DOS(E_F) = 0.1938 states/eV/atom
spin magnetization = 0.000 μB per atom

abc: 4.062 4.062 7.066
angles: 90.00 90.00 120.00
Sites, in units of the cell vectors:
As1 0.667 0.833 0.776
Pr1 0.000 0.500 0.500
As2 0.333 0.167 0.224
Sc1 0.000 0.500 0.000

Here is a relaxed Cu7NiPd12 crystal from Alexandria. Energies are from GGA-PBE.

Computed properties:
calculated formation energy = -0.022 eV/atom
DOS(E_F) = 0.9316 states/eV/atom
spin magnetization = 0.002 μB per atom

abc: 6.805 6.805 6.805
angles: 103.34 103.34 103.34
Sites, in units of the cell vectors:
Pd1 0.237 0.763 0.499
Cu1 0.500 0.500 0.500
Cu2 0.087 0.089 0.684
Pd2 0.763 0.237 0.501
Pd3 0.237 0.501 0.763
Pd4 0.923 0.673 0.671
Cu3 0.316 0.913 0.911
Pd5 0.077 0.327 0.329
Cu4 0.684 0.087 0.089
Pd6 0.763 0.499 0.237
Pd7 0.501 0.763 0.237
Cu5 0.089 0.684 0.087
Pd8 0.673 0.671 0.923
Ni1 0.000 0.000 0.000
Cu6 0.911 0.316 0.913
Pd9 0.671 0.923 0.673
Pd10 0.329 0.077 0.327
Cu7 0.913 0.911 0.316
Pd11 0.499 0.237 0.763
Pd12 0.327 0.329 0.077

Here is a relaxed Nd4Ho3Tm crystal from Alexandria. Energies are from GGA-PBE.

Computed properties:
calculated formation energy = 0.028 eV/atom
DOS(E_F) = 1.8451 states/eV/atom
spin magnetization = 0.000 μB per atom

abc: 6.299 7.321 11.549
angles: 90.00 90.00 90.00
Sites, in units of the cell vectors:
Nd1 0.983 0.129 0.752
Nd2 0.643 0.128 0.000
Nd3 0.483 0.871 0.748
Nd4 0.483 0.871 0.252
Ho1 0.649 0.622 0.000
Ho2 0.981 0.620 0.750
Nd5 0.149 0.871 0.000
Ho3 0.481 0.380 0.250
Nd6 0.983 0.129 0.248
Ho4 0.981 0.620 0.250
Ho5 0.481 0.380 0.750
Tm1 0.147 0.381 0.000
Tm2 0.647 0.619 0.500
Nd7 0.143 0.872 0.500
Nd8 0.649 0.129 0.500
Ho6 0.149 0.378 0.500

Here is a relaxed Ti3CoNi5 crystal from Alexandria. Energies are from GGA-PBE.

Computed properties:
calculated formation energy = 0.030 eV/atom
DOS(E_F) = 1.0869 states/eV/atom
spin magnetization = 0.172 μB per atom

abc: 6.988 6.988 6.956
angles: 120.15 120.15 90.00
Sites, in units of the cell vectors:
Ti1 0.120 0.380 0.000
Ti2 0.620 0.120 0.000
Ni1 0.164 0.067 0.731
Ti3 0.250 0.250 0.500
Ni2 0.433 0.336 0.269
Ni3 0.567 0.664 0.731
Ni4 0.500 0.500 0.000
Ni5 0.836 0.933 0.269
Ni6 0.000 0.000 0.000
Ni7 0.067 0.567 0.731
Ni8 0.336 0.836 0.269
Co1 0.250 0.750 0.500
Co2 0.750 0.250 0.500
Ni9 0.933 0.433 0.269
Ti4 0.750 0.750 0.500
Ti5 0.880 0.620 0.000
Ni10 0.664 0.164 0.731
Ti6 0.380 0.880 0.000